Entry 1:
VASP calculation (GGA-PBEsol) on a relaxed structure of ZnCoPt2.

Lattice parameters (Å, degrees): 4.5100 4.5100 2.7312 90.00 90.00 105.17
Sites, in units of the cell vectors:
Zn1 0.0000 0.0000 0.0000
Co1 0.5000 0.5000 0.0000
Pt1 0.0000 0.5000 0.5000
Pt2 0.5000 0.0000 0.5000

ρ = 15934 kg/m³
formation enthalpy at 0 K = -0.266 eV/atom
crystal system = orthorhombic
E = -6.078 eV per atom

Entry 2:
VASP calculation (GGA-PBEsol) on a relaxed structure of ZnCoPt2.

Lattice parameters (Å, degrees): 2.7325 4.3505 4.5231 90.00 90.00 90.00
Sites, in units of the cell vectors:
Zn1 0.0000 0.0000 0.0000
Co1 0.0000 0.5000 0.6330
Pt1 0.5000 0.0000 0.5090
Pt2 0.5000 0.5000 0.1266

ρ = 15889 kg/m³
formation enthalpy at 0 K = -0.231 eV/atom
crystal system = orthorhombic
E = -6.043 eV per atom

Entry 3:
VASP calculation (GGA-PBEsol) on a relaxed structure of ZrCoPt2.

Lattice parameters (Å, degrees): 3.3448 3.3448 5.5339 90.00 90.00 90.00
Sites, in units of the cell vectors:
Zr1 0.0000 0.0000 0.0000
Co1 0.5000 0.5000 0.2729
Pt1 0.0000 0.0000 0.4696
Pt2 0.5000 0.5000 0.7487

ρ = 14493 kg/m³
formation enthalpy at 0 K = -0.489 eV/atom
crystal system = tetragonal
E = -8.177 eV per atom

Entry 4:
VASP calculation (GGA-PBEsol) on a relaxed structure of ZrCoPt.

Lattice parameters (Å, degrees): 4.2363 4.2363 4.2363 60.00 60.00 60.00
Sites, in units of the cell vectors:
Zr1 0.0000 0.0000 0.0000
Co1 0.2500 0.2500 0.2500
Pt1 0.7500 0.7500 0.7500

ρ = 10664 kg/m³
formation enthalpy at 0 K = 0.000 eV/atom
crystal system = cubic
E = -7.930 eV per atom

Please write out number 2 again, unchanged.
VASP calculation (GGA-PBEsol) on a relaxed structure of ZnCoPt2.

Lattice parameters (Å, degrees): 2.7325 4.3505 4.5231 90.00 90.00 90.00
Sites, in units of the cell vectors:
Zn1 0.0000 0.0000 0.0000
Co1 0.0000 0.5000 0.6330
Pt1 0.5000 0.0000 0.5090
Pt2 0.5000 0.5000 0.1266

ρ = 15889 kg/m³
formation enthalpy at 0 K = -0.231 eV/atom
crystal system = orthorhombic
E = -6.043 eV per atom